An optimized crystal structure of AcAgBi, computed with GGA-PBE.

Values from the calculation:
Formation energy   -0.29 eV per atom
VASP energy   -46.86 eV per cell

CIF file:
```
data_AcAgBi
_symmetry_space_group_name_H-M 'C 1 2 1'
_symmetry_Int_Tables_number 5
_cell_length_a 5.149
_cell_length_b 8.588
_cell_length_c 9.596
_cell_angle_alpha 90.00
_cell_angle_beta 105.36
_cell_angle_gamma 90.00
loop_
_symmetry_equiv_pos_as_xyz
'x,y,z'
'-x,y,-z'
'x+1/2,y+1/2,z'
'-x+1/2,y+1/2,-z'
loop_
_atom_site_label
_atom_site_fract_x
_atom_site_fract_y
_atom_site_fract_z
_atom_site_occupancy
Ac1 0.105 0.000 0.212 1
Ag1 0.000 0.335 0.000 1
Ag2 0.000 0.674 0.000 1
Bi1 0.201 0.661 0.404 1
```


An optimized crystal structure of AcAg2Bi, computed with GGA-PBE.

Values from the calculation:
Formation energy   -0.25 eV per atom
VASP energy   -14.70 eV per cell

CIF file:
```
data_AcAg2Bi
_symmetry_space_group_name_H-M 'P 4/m m m'
_symmetry_Int_Tables_number 123
_symmetry_space_group_name_Hall '-P 4 2'
_cell_length_a 4.803
_cell_length_b 4.803
_cell_length_c 4.865
_cell_angle_alpha 90.00
_cell_angle_beta 90.00
_cell_angle_gamma 90.00
loop_
_atom_site_label
_atom_site_fract_x
_atom_site_fract_y
_atom_site_fract_z
_atom_site_occupancy
Ac1 0.000 0.000 0.000 1
Ag1 0.000 0.500 0.500 1
Bi1 0.500 0.500 0.000 1
```


An optimized crystal structure of AcAgBi, computed with GGA-PBE.

Values from the calculation:
Formation energy   -0.32 eV per atom
VASP energy   -23.60 eV per cell

CIF file:
```
data_AcAgBi
_symmetry_space_group_name_H-M 'I 4 m m'
_symmetry_Int_Tables_number 107
_symmetry_space_group_name_Hall 'I 4 -2'
_cell_length_a 3.961
_cell_length_b 3.961
_cell_length_c 11.749
_cell_angle_alpha 90.00
_cell_angle_beta 90.00
_cell_angle_gamma 90.00
loop_
_atom_site_label
_atom_site_fract_x
_atom_site_fract_y
_atom_site_fract_z
_atom_site_occupancy
Ac1 0.000 0.000 0.000 1
Ag1 0.000 0.000 0.336 1
Bi1 0.000 0.000 0.703 1
```


An optimized crystal structure of AcAgBi, computed with GGA-PBE.

Values from the calculation:
Formation energy   -0.47 eV per atom
VASP energy   -48.98 eV per cell

CIF file:
```
data_AcAgBi
_symmetry_space_group_name_H-M 'F -4 3 m'
_symmetry_Int_Tables_number 216
_symmetry_space_group_name_Hall 'F -4 2 3'
_cell_length_a 7.328
_cell_length_b 7.328
_cell_length_c 7.328
_cell_angle_alpha 90.00
_cell_angle_beta 90.00
_cell_angle_gamma 90.00
loop_
_atom_site_label
_atom_site_fract_x
_atom_site_fract_y
_atom_site_fract_z
_atom_site_occupancy
Ac1 0.000 0.000 0.000 1
Ag1 0.250 0.250 0.250 1
Bi1 0.000 0.000 0.500 1
```


An optimized crystal structure of AcAgBi4, computed with GGA-PBE.

Values from the calculation:
Formation energy   -0.06 eV per atom
VASP energy   -91.33 eV per cell

CIF file:
```
data_AcAgBi4
_symmetry_space_group_name_H-M 'F -4 3 m'
_symmetry_Int_Tables_number 216
_symmetry_space_group_name_Hall 'F -4 2 3'
_cell_length_a 9.289
_cell_length_b 9.289
_cell_length_c 9.289
_cell_angle_alpha 90.00
_cell_angle_beta 90.00
_cell_angle_gamma 90.00
loop_
_atom_site_label
_atom_site_fract_x
_atom_site_fract_y
_atom_site_fract_z
_atom_site_occupancy
Ac1 0.000 0.000 0.000 1
Ag1 0.250 0.250 0.750 1
Bi1 0.124 0.124 0.376 1
```


An optimized crystal structure of Ac2AgBi, computed with GGA-PBE.

Values from the calculation:
Formation energy   -0.47 eV per atom
VASP energy   -67.34 eV per cell

CIF file:
```
data_Ac2AgBi
_symmetry_space_group_name_H-M 'F m -3 m'
_symmetry_Int_Tables_number 225
_symmetry_space_group_name_Hall '-F 4 2 3'
_cell_length_a 8.161
_cell_length_b 8.161
_cell_length_c 8.161
_cell_angle_alpha 90.00
_cell_angle_beta 90.00
_cell_angle_gamma 90.00
loop_
_atom_site_label
_atom_site_fract_x
_atom_site_fract_y
_atom_site_fract_z
_atom_site_occupancy
Ac1 0.250 0.250 0.250 1
Ag1 0.000 0.000 0.000 1
Bi1 0.000 0.000 0.500 1
```